## KCeFeMoO6 (PBE with a Hubbard U)

Data for a relaxed KCeFeMoO6 crystal.

Unit cell a=5.7680 b=5.6894 c=10.7017 alpha=59.39 beta=90.00 gamma=90.00
Last column: nearest neighbours and their distance in Å.
Element x y z (fractional)
Mo (0.2691, 0.0322, 0.9997)  6 O 2.13-2.23
Mo (0.7309, 0.0322, 0.4997)  6 O 2.13-2.23
Fe (0.6675, 0.4509, 0.0038)  4 O 2.00-2.16
Fe (0.3325, 0.4509, 0.5038)  4 O 2.00-2.16
O (0.4840, 0.0790, 0.1473)  1 Ce 2.12, 1 Mo 2.13, 1 Fe 2.16
O (0.9495, 0.6788, 0.5633)  1 O 1.48
O (0.4381, 0.7684, 0.5210)  1 Fe 2.00, 1 Mo 2.19, 1 Ce 2.22
O (0.4180, 0.4245, 0.8609)  1 Mo 2.13, 1 Fe 2.16, 1 Ce 2.17
O (0.0632, 0.1915, 0.5333)  1 Fe 2.05, 1 Mo 2.23, 1 Ce 2.30
O (0.0505, 0.6788, 0.0633)  1 O 1.48
O (0.5820, 0.4245, 0.3609)  1 Mo 2.13, 1 Fe 2.16, 1 Ce 2.17
O (0.0657, 0.8422, 0.9030)  1 O 1.48
O (0.9343, 0.8422, 0.4030)  1 O 1.48
O (0.5619, 0.7684, 0.0210)  1 Fe 2.00, 1 Mo 2.19, 1 Ce 2.22
O (0.5160, 0.0790, 0.6473)  1 Ce 2.12, 1 Mo 2.13, 1 Fe 2.16
O (0.9368, 0.1915, 0.0333)  1 Fe 2.05, 1 Mo 2.23, 1 Ce 2.30
Ce (0.2467, 0.7921, 0.6948)  4 O 2.12-2.30
Ce (0.7533, 0.7921, 0.1948)  4 O 2.12-2.30
K (0.2315, 0.2404, 0.2728)  4 O 2.46-2.66
K (0.7685, 0.2404, 0.7728)  4 O 2.46-2.66

Output
SG: No. 7
Electronic total energy in eV for the cell shown: -133.9